(1)
The following is a DFT calculation (PBE) of crystalline VAgIr3 at its relaxed geometry. Values from VASP.

Summary:
crystal system = cubic
energy relative to the lowest polymorph listed for this composition = 0.0 kJ per mole of atoms
DOS(E_F) = 5.19 states/eV per cell
ΔH_f (0 K) = 1148 meV per atom

Structure (Quantum ESPRESSO input):
```
&SYSTEM
  ibrav = 0, nat = 5, ntyp = 3
/
ATOMIC_SPECIES
Ir 192.22 Ir.upf
Ag 107.87 Ag.upf
V 50.94 V.upf
CELL_PARAMETERS angstrom
-2.513 1.763 -3.337
1.786 -2.976 -2.917
-3.325 -2.932 0.955
ATOMIC_POSITIONS crystal
Ir 0.500 0.000 0.000
Ir 0.000 0.500 0.000
Ir 0.000 0.000 0.500
Ag 0.500 0.500 0.500
V 0.000 0.000 0.000
```

=====

(2)
The following is a DFT calculation (PBE) of crystalline VAg2Ir at its relaxed geometry. Values from VASP.

Summary:
crystal system = cubic
energy relative to the lowest polymorph listed for this composition = 0.0 kJ per mole of atoms
DOS(E_F) = 4.13 states/eV per cell
ΔH_f (0 K) = 524 meV per atom

Structure (Quantum ESPRESSO input):
```
&SYSTEM
  ibrav = 0, nat = 4, ntyp = 3
/
ATOMIC_SPECIES
Ag 107.87 Ag.upf
V 50.94 V.upf
Ir 192.22 Ir.upf
CELL_PARAMETERS angstrom
0.180 -4.481 0.506
-3.434 -2.569 -1.405
0.502 -2.660 -3.611
ATOMIC_POSITIONS crystal
Ag 0.750 0.750 0.750
Ag 0.250 0.250 0.250
V 0.000 0.000 0.000
Ir 0.500 0.500 0.500
```

=====

(3)
The following is a DFT calculation (PBE) of crystalline AgIrW at its relaxed geometry. Values from VASP.

Summary:
crystal system = tetragonal
energy relative to the lowest polymorph listed for this composition = 7.0 kJ per mole of atoms
DOS(E_F) = 3.20 states/eV per cell
ΔH_f (0 K) = 237 meV per atom

Structure (Quantum ESPRESSO input):
```
&SYSTEM
  ibrav = 0, nat = 3, ntyp = 3
/
ATOMIC_SPECIES
Ag 107.87 Ag.upf
W 183.84 W.upf
Ir 192.22 Ir.upf
CELL_PARAMETERS angstrom
6.324 0.004 0.000
5.041 3.819 0.000
-5.682 -1.912 2.013
ATOMIC_POSITIONS crystal
Ag 0.000 0.000 0.000
W 0.679 0.679 0.000
Ir 0.321 0.321 0.000
```